[1]
GGA-PBEsol Na2P2H14O13, relaxed; size of the total moment = 0.003 μB per atom; N(E_F) = 0.000 states/eV per cell; calculated total energy = -5.605 eV/atom
1.0
6.7490 0.0000 0.0000
3.3745 6.9279 0.0309
3.3745 0.8218 11.8566
H O Na P
28 26 4 4
Direct
0.2793 0.6288 0.9386
0.2722 0.6218 0.4898
0.6163 0.1218 0.9898
0.5120 0.3959 0.6091
0.9182 0.5185 0.9007
0.1532 0.1288 0.4386
0.3837 0.8782 0.0102
0.5170 0.1041 0.8909
0.8239 0.1009 0.8568
0.4880 0.6041 0.3909
0.3374 0.9815 0.5993
0.5361 0.5649 0.1148
0.8468 0.8712 0.5614
0.6626 0.0185 0.4007
0.0873 0.3012 0.0552
0.5563 0.8012 0.5552
0.4639 0.4351 0.8852
0.7816 0.3991 0.6432
0.9127 0.6988 0.9448
0.7842 0.0649 0.6148
0.7278 0.3782 0.5102
0.4830 0.8959 0.1091
0.7207 0.3712 0.0614
0.1761 0.8991 0.1432
0.2158 0.9351 0.3852
0.4437 0.1988 0.4448
0.2184 0.6009 0.3568
0.0818 0.4815 0.0993
0.7622 0.4898 0.3924
0.6066 0.4223 0.1307
0.7721 0.7500 0.2500
0.3556 0.9898 0.8924
0.8404 0.9223 0.6307
0.3171 0.6707 0.4078
0.2107 0.2165 0.5522
0.7893 0.7835 0.4478
0.3934 0.5777 0.8693
0.1596 0.0777 0.3693
0.2279 0.2500 0.7500
0.1272 0.5395 0.3235
0.0098 0.0395 0.8235
0.1176 0.3407 0.1194
0.8824 0.6593 0.8806
0.6829 0.3293 0.5922
0.9902 0.9605 0.1765
0.4223 0.8407 0.6194
0.2378 0.5102 0.6076
0.3956 0.8293 0.0922
0.9794 0.2835 0.9478
0.8728 0.4605 0.6765
0.5777 0.1593 0.3806
0.6444 0.0102 0.1076
0.0206 0.7165 0.0522
0.6044 0.1707 0.9078
0.8587 0.2524 0.2688
0.6201 0.7524 0.7688
0.3799 0.2476 0.2312
0.1413 0.7476 0.7312
0.1349 0.3620 0.6385
0.1355 0.1380 0.8615
0.8651 0.6380 0.3615
0.8645 0.8620 0.1385

=====

[2]
GGA-PBEsol ZrFeSb, relaxed; size of the total moment = 0.341 μB per atom; N(E_F) = 2.787 states/eV per cell; formation energy from raw total energies = -47 kJ per mole of atoms
1.0
-3.9541 1.6530 -0.2464
-2.3519 0.4787 3.5592
-0.7840 3.9287 1.5424
Sb Zr Fe
1 1 1
Direct
0.0000 0.0000 0.0000
0.5000 0.5000 0.5000
0.2500 0.2500 0.2500

=====

[3]
GGA-PBEsol Ba2SrCu, relaxed; size of the total moment = 0.000 μB per atom; N(E_F) = 3.450 states/eV per cell; E_form = 0.07 eV per atom
1.0
-0.1779 3.4937 1.7927
1.4527 -1.6084 3.2795
9.6646 2.1482 -3.2274
Cu Ba Sr
1 2 1
Direct
0.0000 0.0000 0.4917
0.0000 0.0000 0.0076
0.5000 0.5000 0.6722
0.5000 0.5000 0.3285

=====

[4]
GGA-PBEsol MgIrSe2N, relaxed; size of the total moment = 0.000 μB per atom; N(E_F) = 3.209 states/eV per cell; formation energy from raw total energies = 2 kJ per mole of atoms
1.0
3.6330 0.0000 0.0000
0.0000 5.1310 0.0000
0.0000 0.0000 5.1310
Ir N Se Mg
1 1 2 1
Direct
0.0000 0.0000 0.0000
0.5000 0.0000 0.0000
0.0000 0.5000 0.0000
0.0000 0.0000 0.5000
0.5000 0.5000 0.5000